Record 1
An optimized crystal structure of Mn3HOs, computed with GGA-PBE.

## Properties
total magnetization	0.0	μB/f.u.
energy above the lowest structure with this stoichiometry	0.15	eV/f.u.
E	-8.430	eV/atom

```
data_Mn3HOs
_cell_length_a 4.1803
_cell_length_b 4.5061
_cell_length_c 5.2623
_cell_angle_alpha 89.65
_cell_angle_beta 89.69
_cell_angle_gamma 89.76
_symmetry_space_group_name_H-M 'P -1'
_symmetry_Int_Tables_number 2
loop_
_symmetry_equiv_pos_as_xyz
'x,y,z'
'-x,-y,-z'
loop_
_atom_site_label
_atom_site_type_symbol
_atom_site_fract_x
_atom_site_fract_y
_atom_site_fract_z
_atom_site_occupancy
Mn1 Mn 0.2336 0.0782 0.3735 1
Mn2 Mn 0.2383 0.5874 0.6233 1
Mn3 Mn 0.2421 0.0702 0.8742 1
H1 H 0.4791 0.2404 0.6119 1
Os1 Os 0.2446 0.5802 0.1263 1
```

Record 2
An optimized crystal structure of Nb2HgB, computed with GGA-PBE.

## Properties
total magnetization	0.0	μB/f.u.
energy above the lowest structure with this stoichiometry	3.76	eV/f.u.
E	-6.105	eV/atom
formation enthalpy at 0 K	675	meV/atom

```
data_Nb2HgB
_cell_length_a 6.3653
_cell_length_b 6.3653
_cell_length_c 6.3653
_cell_angle_alpha 90.00
_cell_angle_beta 90.00
_cell_angle_gamma 90.00
_symmetry_space_group_name_H-M 'F m -3 m'
_symmetry_Int_Tables_number 225
_symmetry_space_group_name_Hall '-F 4 2 3'
loop_
_atom_site_label
_atom_site_type_symbol
_atom_site_fract_x
_atom_site_fract_y
_atom_site_fract_z
_atom_site_occupancy
Nb1 Nb 0.2500 0.2500 0.2500 1
Hg1 Hg 0.0000 0.0000 0.0000 1
B1 B 0.0000 0.0000 0.5000 1
```

Record 3
An optimized crystal structure of Sr2LaCl, computed with GGA-PBE.

## Properties
total magnetization	0.0	μB/f.u.
ΔE_f (raw)	-746	meV per atom
energy above the lowest structure with this stoichiometry	0.21	eV/f.u.
E	-3.280	eV/atom

```
data_Sr2LaCl
_cell_length_a 4.2805
_cell_length_b 6.5664
_cell_length_c 10.9924
_cell_angle_alpha 90.00
_cell_angle_beta 90.00
_cell_angle_gamma 90.00
_symmetry_space_group_name_H-M 'C m m m'
_symmetry_Int_Tables_number 65
_symmetry_space_group_name_Hall '-C 2 2'
loop_
_atom_site_label
_atom_site_type_symbol
_atom_site_fract_x
_atom_site_fract_y
_atom_site_fract_z
_atom_site_occupancy
Sr1 Sr 0.0000 0.0000 0.2098 1
La1 La 0.0000 0.5000 0.5000 1
Cl1 Cl 0.0000 0.5000 0.0000 1
```

Record 4
An optimized crystal structure of CrTcSb2, computed with GGA-PBE.

## Properties
total magnetization	1.4	μB/f.u.
ΔE_f (raw)	309	meV per atom
energy above the lowest structure with this stoichiometry	0.73	eV/f.u.
E	-6.750	eV/atom

```
data_CrTcSb2
_cell_length_a 6.5185
_cell_length_b 6.5185
_cell_length_c 6.5185
_cell_angle_alpha 90.00
_cell_angle_beta 90.00
_cell_angle_gamma 90.00
_symmetry_space_group_name_H-M 'F m -3 m'
_symmetry_Int_Tables_number 225
_symmetry_space_group_name_Hall '-F 4 2 3'
loop_
_atom_site_label
_atom_site_type_symbol
_atom_site_fract_x
_atom_site_fract_y
_atom_site_fract_z
_atom_site_occupancy
Cr1 Cr 0.0000 0.0000 0.0000 1
Tc1 Tc 0.0000 0.0000 0.5000 1
Sb1 Sb 0.2500 0.2500 0.2500 1
```

Record 5
An optimized crystal structure of Pu3FeSi3, computed with GGA-PBE.

## Properties
total magnetization	6.9	μB/f.u.
ΔE_f (raw)	-417	meV per atom
E	-10.093	eV/atom

```
data_Pu3FeSi3
_cell_length_a 10.1803
_cell_length_b 4.2504
_cell_length_c 13.2257
_cell_angle_alpha 90.00
_cell_angle_beta 110.93
_cell_angle_gamma 90.00
_symmetry_space_group_name_H-M 'C 1 2/m 1'
_symmetry_Int_Tables_number 12
loop_
_symmetry_equiv_pos_as_xyz
'x,y,z'
'-x,-y,-z'
'-x,y,-z'
'x,-y,z'
'x+1/2,y+1/2,z'
'-x+1/2,-y+1/2,-z'
'-x+1/2,y+1/2,-z'
'x+1/2,-y+1/2,z'
loop_
_atom_site_label
_atom_site_type_symbol
_atom_site_fract_x
_atom_site_fract_y
_atom_site_fract_z
_atom_site_occupancy
Pu1 Pu 0.0223 0.0000 0.3760 1
Pu2 Pu 0.0812 0.0000 0.9075 1
Pu3 Pu 0.2268 0.5000 0.7826 1
Fe1 Fe 0.2417 0.0000 0.5726 1
Si1 Si 0.0878 0.5000 0.2494 1
Si2 Si 0.1162 0.5000 0.0703 1
Si3 Si 0.1360 0.5000 0.5481 1
```

Record 6
An optimized crystal structure of SiNiB3, computed with GGA-PBE.

## Properties
total magnetization	0.0	μB/f.u.
ΔE_f (raw)	1704	meV per atom
energy above the lowest structure with this stoichiometry	2.28	eV/f.u.
E	-4.543	eV/atom

```
data_SiNiB3
_cell_length_a 3.9154
_cell_length_b 3.9154
_cell_length_c 3.9154
_cell_angle_alpha 90.00
_cell_angle_beta 90.00
_cell_angle_gamma 90.00
_symmetry_space_group_name_H-M 'P m -3 m'
_symmetry_Int_Tables_number 221
_symmetry_space_group_name_Hall '-P 4 2 3'
loop_
_atom_site_label
_atom_site_type_symbol
_atom_site_fract_x
_atom_site_fract_y
_atom_site_fract_z
_atom_site_occupancy
Si1 Si 0.0000 0.0000 0.0000 1
Ni1 Ni 0.5000 0.5000 0.5000 1
B1 B 0.0000 0.0000 0.5000 1
```

Record 7
An optimized crystal structure of La2Tc, computed with GGA-PBE.

## Properties
total magnetization	0.0	μB/f.u.
energy above the lowest structure with this stoichiometry	0.16	eV/f.u.
E	-6.652	eV/atom
formation enthalpy at 0 K	88	meV/atom

```
data_La2Tc
_cell_length_a 7.5958
_cell_length_b 7.5958
_cell_length_c 4.8591
_cell_angle_alpha 90.00
_cell_angle_beta 90.00
_cell_angle_gamma 120.00
_symmetry_space_group_name_H-M 'P -6 2 m'
_symmetry_Int_Tables_number 189
_symmetry_space_group_name_Hall 'P -6 -2'
loop_
_atom_site_label
_atom_site_type_symbol
_atom_site_fract_x
_atom_site_fract_y
_atom_site_fract_z
_atom_site_occupancy
La1 La 0.0000 0.2797 0.0000 1
La2 La 0.0000 0.6053 0.5000 1
Tc1 Tc 0.0000 0.0000 0.5000 1
Tc2 Tc 0.3333 0.6667 0.0000 1
```

Record 8
An optimized crystal structure of Ni4RuN4, computed with GGA-PBE.

## Properties
total magnetization	0.0	μB/f.u.
ΔE_f (raw)	359	meV per atom
E	-6.941	eV/atom

```
data_Ni4RuN4
_cell_length_a 4.7347
_cell_length_b 4.7723
_cell_length_c 8.6012
_cell_angle_alpha 78.55
_cell_angle_beta 79.02
_cell_angle_gamma 79.78
_symmetry_space_group_name_H-M 'P -1'
_symmetry_Int_Tables_number 2
loop_
_symmetry_equiv_pos_as_xyz
'x,y,z'
'-x,-y,-z'
loop_
_atom_site_label
_atom_site_type_symbol
_atom_site_fract_x
_atom_site_fract_y
_atom_site_fract_z
_atom_site_occupancy
Ni1 Ni 0.1364 0.1740 0.4037 1
Ni2 Ni 0.1764 0.2059 0.0116 1
Ni3 Ni 0.1802 0.7023 0.2015 1
Ni4 Ni 0.3221 0.3767 0.5910 1
Ru1 Ru 0.3235 0.8404 0.7812 1
N1 N 0.0704 0.1005 0.6394 1
N2 N 0.2033 0.6060 0.9927 1
N3 N 0.4156 0.4277 0.3462 1
N4 N 0.4741 0.9432 0.1233 1
```

Record 9
An optimized crystal structure of ReB2Cl2, computed with GGA-PBE.

## Properties
total magnetization	0.0	μB/f.u.
ΔE_f (raw)	1523	meV per atom
energy above the lowest structure with this stoichiometry	1.50	eV/f.u.
E	-4.376	eV/atom

```
data_ReB2Cl2
_cell_length_a 4.7882
_cell_length_b 4.7882
_cell_length_c 5.9838
_cell_angle_alpha 90.00
_cell_angle_beta 90.00
_cell_angle_gamma 90.00
_symmetry_space_group_name_H-M 'I 4/m m m'
_symmetry_Int_Tables_number 139
_symmetry_space_group_name_Hall '-I 4 2'
loop_
_atom_site_label
_atom_site_type_symbol
_atom_site_fract_x
_atom_site_fract_y
_atom_site_fract_z
_atom_site_occupancy
Re1 Re 0.0000 0.0000 0.0000 1
B1 B 0.0000 0.0000 0.3639 1
Cl1 Cl 0.0000 0.5000 0.2500 1
```

Record 10
An optimized crystal structure of ZnAg4Au3, computed with GGA-PBE.

## Properties
total magnetization	0.0	μB/f.u.
energy above the lowest structure with this stoichiometry	0.16	eV/f.u.
E	-2.839	eV/atom
formation enthalpy at 0 K	-25	meV/atom

```
data_ZnAg4Au3
_cell_length_a 12.9099
_cell_length_b 4.8407
_cell_length_c 4.8878
_cell_angle_alpha 90.00
_cell_angle_beta 111.85
_cell_angle_gamma 90.00
_symmetry_space_group_name_H-M 'C 1 2/m 1'
_symmetry_Int_Tables_number 12
loop_
_symmetry_equiv_pos_as_xyz
'x,y,z'
'-x,-y,-z'
'-x,y,-z'
'x,-y,z'
'x+1/2,y+1/2,z'
'-x+1/2,-y+1/2,-z'
'-x+1/2,y+1/2,-z'
'x+1/2,-y+1/2,z'
loop_
_atom_site_label
_atom_site_type_symbol
_atom_site_fract_x
_atom_site_fract_y
_atom_site_fract_z
_atom_site_occupancy
Zn1 Zn 0.0000 0.0000 0.0000 1
Ag1 Ag 0.1235 0.0000 0.6312 1
Ag2 Ag 0.2485 0.0000 0.2557 1
Au1 Au 0.0000 0.5000 0.5000 1
Au2 Au 0.1219 0.5000 0.1180 1
```

Record 11
An optimized crystal structure of CsAlGe, computed with GGA-PBE.

## Properties
total magnetization	0.0	μB/f.u.
E	-2.959	eV/atom
formation enthalpy at 0 K	113	meV/atom

```
data_CsAlGe
_cell_length_a 13.7809
_cell_length_b 5.7823
_cell_length_c 7.1933
_cell_angle_alpha 90.00
_cell_angle_beta 90.00
_cell_angle_gamma 90.00
_symmetry_space_group_name_H-M 'P n m a'
_symmetry_Int_Tables_number 62
loop_
_symmetry_equiv_pos_as_xyz
'x,y,z'
'-x,-y,-z'
'-x+1/2,-y,z+1/2'
'x+1/2,y,-z+1/2'
'x+1/2,-y+1/2,-z+1/2'
'-x+1/2,y+1/2,z+1/2'
'-x,y+1/2,-z'
'x,-y+1/2,z'
loop_
_atom_site_label
_atom_site_type_symbol
_atom_site_fract_x
_atom_site_fract_y
_atom_site_fract_z
_atom_site_occupancy
Cs1 Cs 0.1480 0.2500 0.0150 1
Al1 Al 0.0000 0.0000 0.5000 1
Ge1 Ge 0.0956 0.7500 0.6952 1
```

Record 12
An optimized crystal structure of Al2CrPt2, computed with GGA-PBE.

## Properties
total magnetization	0.1	μB/f.u.
energy above the lowest structure with this stoichiometry	0.00	eV/f.u.
E	-6.298	eV/atom
formation enthalpy at 0 K	-460	meV/atom

```
data_Al2CrPt2
_cell_length_a 7.3286
_cell_length_b 7.3286
_cell_length_c 2.7463
_cell_angle_alpha 90.00
_cell_angle_beta 90.00
_cell_angle_gamma 90.00
_symmetry_space_group_name_H-M 'P 4/m b m'
_symmetry_Int_Tables_number 127
_symmetry_space_group_name_Hall '-P 4 2ab'
loop_
_atom_site_label
_atom_site_type_symbol
_atom_site_fract_x
_atom_site_fract_y
_atom_site_fract_z
_atom_site_occupancy
Al1 Al 0.1435 0.3565 0.0000 1
Cr1 Cr 0.0000 0.0000 0.0000 1
Pt1 Pt 0.1557 0.6557 0.5000 1
```